Ti3V5O16 after structural relaxation. Source: Alexandria via LeMat-Bulk, functional PBE with a Hubbard U.

a b c (Å): 5.901 5.901 9.030
angles (deg): 90.25 90.25 60.70
Positions (direct):
Ti 0.000 0.000 0.000
Ti 0.174 0.678 0.504
Ti 0.678 0.174 0.504
V 0.001 0.499 0.007
V 0.177 0.177 0.280
V 0.499 0.001 0.007
V 0.502 0.502 0.781
V 0.671 0.671 0.503
O 0.009 0.494 0.399
O 0.010 0.010 0.398
O 0.166 0.166 0.894
O 0.170 0.660 0.900
O 0.314 0.314 0.133
O 0.314 0.888 0.134
O 0.364 0.364 0.638
O 0.369 0.789 0.634
O 0.494 0.009 0.399
O 0.503 0.503 0.393
O 0.657 0.657 0.900
O 0.660 0.170 0.900
O 0.789 0.369 0.634
O 0.835 0.835 0.108
O 0.841 0.841 0.607
O 0.888 0.314 0.134

Computed properties:
Total moment (Bohr magnetons per cell): 5.0
Total energy (Ry per atom): -0.59715
Calculated density (g cm⁻³): 3.96